# Ba2CuO4 meta-GGA SCAN single point on PBEsol structure
# - uncorrected energy (eV per atom) = -18.96
# - spin magnetization (μB per atom) = 0.000
data_Ba2CuO4
_chemical_formula_sum 'Ba4 Cu2 O8'
_symmetry_space_group_name_H-M 'I 4/m m m'
_symmetry_Int_Tables_number 139
_symmetry_space_group_name_Hall '-I 4 2'
_cell_length_a 4.0006
_cell_length_b 4.0006
_cell_length_c 12.8305
_cell_angle_alpha 90.00
_cell_angle_beta 90.00
_cell_angle_gamma 90.00
loop_
_atom_site_label
_atom_site_fract_x
_atom_site_fract_y
_atom_site_fract_z
Ba1 0.0000 0.0000 0.1418
Cu1 0.0000 0.0000 0.5000
O1 0.0000 0.0000 0.3514
O2 0.0000 0.5000 0.0000

***

# BaCuO2 meta-GGA SCAN single point on PBEsol structure
# - uncorrected energy (eV per atom) = -18.46
# - spin magnetization (μB per atom) = 0.250
data_BaCuO2
_chemical_formula_sum 'Ba3 Cu3 O6'
_symmetry_space_group_name_H-M 'R -3 m'
_symmetry_Int_Tables_number 166
_symmetry_space_group_name_Hall '-R 3 2"'
_cell_length_a 4.1439
_cell_length_b 4.1439
_cell_length_c 17.4115
_cell_angle_alpha 90.00
_cell_angle_beta 90.00
_cell_angle_gamma 120.00
loop_
_atom_site_label
_atom_site_fract_x
_atom_site_fract_y
_atom_site_fract_z
Ba1 0.0000 0.0000 0.0000
Cu1 0.0000 0.0000 0.5000
O1 0.0000 0.0000 0.4010

***

# BaCuO2 meta-GGA SCAN single point on PBEsol structure
# - uncorrected energy (eV per atom) = -18.64
# - spin magnetization (μB per atom) = 0.000
data_BaCuO2
_chemical_formula_sum 'Ba4 Cu4 O8'
_symmetry_space_group_name_H-M 'C m c m'
_symmetry_Int_Tables_number 63
_symmetry_space_group_name_Hall '-C 2c 2'
_cell_length_a 3.9516
_cell_length_b 16.4365
_cell_length_c 4.0094
_cell_angle_alpha 90.00
_cell_angle_beta 90.00
_cell_angle_gamma 90.00
loop_
_atom_site_label
_atom_site_fract_x
_atom_site_fract_y
_atom_site_fract_z
Ba1 0.0000 0.1638 0.2500
Cu1 0.0000 0.4382 0.2500
O1 0.0000 0.3242 0.2500
O2 0.0000 0.4484 0.7500

***

# Ba2Cu3O6 meta-GGA SCAN single point on PBEsol structure
# - uncorrected energy (eV per atom) = -16.29
# - relative energy among the computed polymorphs (kJ/mol of formula units) = 63
# - spin magnetization (μB per atom) = 0.092
data_Ba2Cu3O6
_chemical_formula_sum 'Ba16 Cu24 O48'
_symmetry_space_group_name_H-M 'F m m m'
_symmetry_Int_Tables_number 69
_symmetry_space_group_name_Hall '-F 2 2'
_cell_length_a 8.1803
_cell_length_b 11.1598
_cell_length_c 14.4608
_cell_angle_alpha 90.00
_cell_angle_beta 90.00
_cell_angle_gamma 90.00
loop_
_atom_site_label
_atom_site_fract_x
_atom_site_fract_y
_atom_site_fract_z
Ba1 0.0000 0.2313 0.0000
Ba2 0.2500 0.2500 0.2500
Cu1 0.1538 0.0000 0.1479
Cu2 0.1874 0.0000 0.5000
O1 0.0000 0.1159 0.1826
O2 0.2123 0.1139 0.4085

***

# Ba2CuOsO6 meta-GGA SCAN single point on PBEsol structure
# - uncorrected energy (eV per atom) = -22.25
# - spin magnetization (μB per atom) = 0.266
data_Ba2CuOsO6
_chemical_formula_sum 'Ba4 Cu2 Os2 O12'
_symmetry_space_group_name_H-M 'I 4/m'
_symmetry_Int_Tables_number 87
_symmetry_space_group_name_Hall '-I 4'
_cell_length_a 5.5963
_cell_length_b 5.5963
_cell_length_c 8.4731
_cell_angle_alpha 90.00
_cell_angle_beta 90.00
_cell_angle_gamma 90.00
loop_
_atom_site_label
_atom_site_fract_x
_atom_site_fract_y
_atom_site_fract_z
Ba1 0.0000 0.5000 0.2500
Cu1 0.0000 0.0000 0.0000
Os1 0.0000 0.0000 0.5000
O1 0.0000 0.0000 0.2734
O2 0.2401 0.2455 0.5000

***

# BaCuP2O7 meta-GGA SCAN single point on PBEsol structure
# - uncorrected energy (eV per atom) = -13.33
# - spin magnetization (μB per atom) = 0.093
data_BaCuP2O7
_chemical_formula_sum 'Ba2 Cu2 P4 O14'
_symmetry_space_group_name_H-M 'P -1'
_symmetry_Int_Tables_number 2
_symmetry_space_group_name_Hall '-P 1'
_cell_length_a 5.2108
_cell_length_b 7.4433
_cell_length_c 7.5718
_cell_angle_alpha 103.15
_cell_angle_beta 91.81
_cell_angle_gamma 95.73
loop_
_atom_site_label
_atom_site_fract_x
_atom_site_fract_y
_atom_site_fract_z
Ba1 0.1886 0.2759 0.4268
Cu1 0.1781 0.1437 0.9018
P1 0.2880 0.6884 0.9010
P2 0.3137 0.7651 0.2834
O1 0.0888 0.8880 0.2969
O2 0.0939 0.8368 0.9184
O3 0.2091 0.5250 0.7463
O4 0.2740 0.6184 0.0889
O5 0.3038 0.6553 0.4294
O6 0.4228 0.1196 0.7105
O7 0.4327 0.2234 0.1039

***

# BaTiCu4P4O17 meta-GGA SCAN single point on PBEsol structure
# - uncorrected energy (eV per atom) = -12.03
# - spin magnetization (μB per atom) = 0.148
data_BaTiCu4P4O17
_chemical_formula_sum 'Ba2 Ti2 Cu8 P8 O34'
_symmetry_space_group_name_H-M 'P 4 21 2'
_symmetry_Int_Tables_number 90
_symmetry_space_group_name_Hall 'P 4ab 2ab'
_cell_length_a 9.6002
_cell_length_b 9.6002
_cell_length_c 7.1190
_cell_angle_alpha 90.00
_cell_angle_beta 90.00
_cell_angle_gamma 90.00
loop_
_atom_site_label
_atom_site_fract_x
_atom_site_fract_y
_atom_site_fract_z
Ba1 0.0000 0.0000 0.0000
Ti1 0.0000 0.5000 0.0187
Cu1 0.0119 0.2700 0.5995
P1 0.1930 0.7190 0.2610
O1 0.0000 0.5000 0.7784
O2 0.1111 0.6623 0.0919
O3 0.1234 0.8372 0.7329
O4 0.1359 0.6504 0.4470
O5 0.1517 0.1804 0.7553

***

# BaVCu4P4O17 meta-GGA SCAN single point on PBEsol structure
# - uncorrected energy (eV per atom) = -12.00
# - spin magnetization (μB per atom) = 0.111
data_BaVCu4P4O17
_chemical_formula_sum 'Ba2 V2 Cu8 P8 O34'
_symmetry_space_group_name_H-M 'P 4 21 2'
_symmetry_Int_Tables_number 90
_symmetry_space_group_name_Hall 'P 4ab 2ab'
_cell_length_a 9.6216
_cell_length_b 9.6216
_cell_length_c 7.1486
_cell_angle_alpha 90.00
_cell_angle_beta 90.00
_cell_angle_gamma 90.00
loop_
_atom_site_label
_atom_site_fract_x
_atom_site_fract_y
_atom_site_fract_z
Ba1 0.0000 0.0000 0.0000
V1 0.0000 0.5000 0.0340
Cu1 0.0107 0.2640 0.5994
P1 0.1933 0.7153 0.2636
O1 0.0000 0.5000 0.8075
O2 0.1087 0.6547 0.0967
O3 0.1279 0.8376 0.7389
O4 0.1378 0.6499 0.4502
O5 0.1526 0.1766 0.7585